Density functional theory data (PBE) for a relaxed Ti6PtN4 crystal.

Properties
The value obtained for the total magnetic moment is 0.00 μB/f.u. The calculation puts the uncorrected formation energy at -1.49 eV per atom.

Lattice parameters (Å, degrees): 5.3905 5.3905 16.0942 90.00 90.00 147.00
Positions (direct):
Ti 0.0000 0.0000 0.0000
Ti 0.0000 0.0000 0.5000
Ti 0.1398 0.8602 0.7500
Ti 0.2786 0.7214 0.0775
Ti 0.2786 0.7214 0.4225
Ti 0.4642 0.5358 0.6461
Ti 0.4642 0.5358 0.8539
Ti 0.5358 0.4642 0.1461
Ti 0.5358 0.4642 0.3539
Ti 0.7214 0.2786 0.5775
Ti 0.7214 0.2786 0.9225
Ti 0.8602 0.1398 0.2500
Pt 0.1637 0.8363 0.2500
Pt 0.8363 0.1637 0.7500
N 0.0938 0.9062 0.6203
N 0.0938 0.9062 0.8797
N 0.3622 0.6378 0.5393
N 0.3622 0.6378 0.9607
N 0.6378 0.3622 0.0393
N 0.6378 0.3622 0.4607
N 0.9062 0.0938 0.1203
N 0.9062 0.0938 0.3797